No. 1
Entry from the Alexandria database: an optimized crystal structure of CaPm4Dy (PBE).

```
CaPm4Dy
1.0
3.6299 0.0000 0.0000
0.0000 5.1938 0.0000
0.0000 0.0000 11.0548
Ca Pm Dy
1 4 1
Direct
0.0000 0.0000 0.0000
0.0000 0.0000 0.3399
0.0000 0.0000 0.6601
0.5000 0.5000 0.1811
0.5000 0.5000 0.8189
0.5000 0.5000 0.5000
```

## Properties
- Electronic total energy: -4.222 eV/atom
- Formation energy: 0.046 eV/atom
- Symmetry: Pmmm
- Density: 6.2 g/cm³
- Energy relative to the lowest polymorph listed for this composition: 0.000 eV/atom


No. 2
Entry from the Alexandria database: an optimized crystal structure of CaPmDy (PBE).

```
CaPmDy
1.0
-1.8364 1.8364 7.8423
1.8364 -1.8364 7.8423
1.8364 1.8364 -7.8423
Ca Pm Dy
1 1 1
Direct
0.0000 0.0000 0.0000
0.3225 0.3225 0.0000
0.6738 0.6738 0.0000
```

## Properties
- Electronic total energy: -3.735 eV/atom
- Formation energy: 0.050 eV/atom
- Symmetry: I4mm
- Density: 5.5 g/cm³
- Energy relative to the lowest polymorph listed for this composition: 0.012 eV/atom


No. 3
Entry from the Alexandria database: an optimized crystal structure of CaPm2Dy4 (PBE).

```
CaPm2Dy4
1.0
1.8013 1.0400 20.8518
-1.8013 1.0400 20.8518
0.0000 -2.0799 20.8518
Ca Pm Dy
1 2 4
Direct
0.0000 0.0000 0.0000
0.4300 0.4300 0.4300
0.5700 0.5700 0.5700
0.1439 0.1439 0.1439
0.2825 0.2825 0.2825
0.7175 0.7175 0.7175
0.8561 0.8561 0.8561
```

## Properties
- Electronic total energy: -4.227 eV/atom
- Formation energy: 0.046 eV/atom
- Symmetry: R-3m
- Density: 6.9 g/cm³


No. 4
Entry from the Alexandria database: an optimized crystal structure of CaPmDy2 (PBE).

```
CaPmDy2
1.0
0.0000 4.0846 4.0846
4.0846 0.0000 4.0846
4.0846 4.0846 0.0000
Ca Pm Dy
1 1 2
Direct
0.0000 0.0000 0.0000
0.5000 0.5000 0.5000
0.2500 0.2500 0.2500
0.7500 0.7500 0.7500
```

## Properties
- Electronic total energy: -3.816 eV/atom
- Formation energy: 0.173 eV/atom
- Symmetry: Fm-3m
- Density: 6.2 g/cm³
- Energy relative to the lowest polymorph listed for this composition: 0.112 eV/atom


No. 5
Entry from the Alexandria database: an optimized crystal structure of Ca2Pm5Dy4 (PBE).

```
Ca2Pm5Dy4
1.0
8.7036 -3.3831 0.0000
8.7036 3.3831 0.0000
-0.8069 0.0000 6.6039
Ca Pm Dy
2 5 4
Direct
0.2019 0.2019 0.3449
0.7981 0.7981 0.6551
0.0000 0.0000 0.5000
0.1715 0.6522 0.1024
0.3478 0.8285 0.8976
0.6522 0.1715 0.1024
0.8285 0.3478 0.8976
0.2541 0.2541 0.8619
0.4197 0.4197 0.6156
0.5803 0.5803 0.3844
0.7459 0.7459 0.1381
```

## Properties
- Electronic total energy: -4.013 eV/atom
- Formation energy: 0.184 eV/atom
- Symmetry: C2/m
- Density: 6.2 g/cm³


No. 6
Entry from the Alexandria database: an optimized crystal structure of CaPmDy (PBE).

```
CaPmDy
1.0
4.9473 0.0000 0.0000
0.0000 4.9473 0.0000
0.0000 0.0000 8.9794
Ca Pm Dy
2 2 2
Direct
0.2500 0.2500 0.1729
0.7500 0.7500 0.8271
0.2500 0.7500 0.5000
0.7500 0.2500 0.5000
0.2500 0.2500 0.7797
0.7500 0.7500 0.2203
```

## Properties
- Electronic total energy: -3.517 eV/atom
- Formation energy: 0.268 eV/atom
- Symmetry: P4/nmm
- Density: 5.3 g/cm³
- Energy relative to the lowest polymorph listed for this composition: 0.230 eV/atom


No. 7
Entry from the Alexandria database: an optimized crystal structure of CaPm8Dy2 (PBE).

```
CaPm8Dy2
1.0
9.3025 -2.5778 0.0000
9.3025 2.5778 0.0000
-2.1157 0.0000 7.8699
Ca Pm Dy
1 8 2
Direct
0.0000 0.0000 0.0000
0.0929 0.0929 0.4613
0.1844 0.1844 0.9101
0.3592 0.3592 0.8089
0.4529 0.4529 0.2805
0.5471 0.5471 0.7195
0.6408 0.6408 0.1911
0.8156 0.8156 0.0899
0.9071 0.9071 0.5387
0.2728 0.2728 0.3634
0.7272 0.7272 0.6366
```

## Properties
- Electronic total energy: -4.441 eV/atom
- Formation energy: 0.033 eV/atom
- Symmetry: C2/m
- Density: 6.7 g/cm³


No. 8
Entry from the Alexandria database: an optimized crystal structure of Ca2Pm5Dy6 (PBE).

```
Ca2Pm5Dy6
1.0
12.1091 0.0000 0.0000
0.0000 20.5763 0.0000
0.0000 0.0000 3.5708
Ca Pm Dy
4 10 12
Direct
0.1559 0.2168 0.0000
0.3441 0.7168 0.0000
0.6559 0.2832 0.0000
0.8441 0.7832 0.0000
0.0000 0.5000 0.5000
0.1065 0.7840 0.5000
0.2052 0.0507 0.5000
0.2948 0.5507 0.5000
0.3935 0.2840 0.5000
0.5000 0.0000 0.5000
0.6065 0.7160 0.5000
0.7052 0.4493 0.5000
0.7948 0.9493 0.5000
0.8935 0.2160 0.5000
0.0560 0.9245 0.0000
0.0713 0.6395 0.0000
0.1828 0.3823 0.5000
0.3172 0.8823 0.5000
0.4287 0.1395 0.0000
0.4440 0.4245 0.0000
0.5560 0.5755 0.0000
0.5713 0.8605 0.0000
0.6828 0.1177 0.5000
0.8172 0.6177 0.5000
0.9287 0.3605 0.0000
0.9440 0.0755 0.0000
```

## Properties
- Electronic total energy: -4.125 eV/atom
- Formation energy: 0.134 eV/atom
- Symmetry: Pbam
- Density: 6.6 g/cm³


No. 9
Entry from the Alexandria database: an optimized crystal structure of CaPmDy4 (PBE).

```
CaPmDy4
1.0
0.0000 4.7169 4.7169
4.7169 0.0000 4.7169
4.7169 4.7169 0.0000
Ca Pm Dy
1 1 4
Direct
0.0000 0.0000 0.0000
0.2500 0.2500 0.2500
0.1289 0.6237 0.6237
0.6237 0.1289 0.6237
0.6237 0.6237 0.1289
0.6237 0.6237 0.6237
```

## Properties
- Electronic total energy: -3.980 eV/atom
- Formation energy: 0.214 eV/atom
- Symmetry: F-43m
- Density: 6.6 g/cm³
- Energy relative to the lowest polymorph listed for this composition: 0.167 eV/atom


No. 10
Entry from the Alexandria database: an optimized crystal structure of CaPm2Dy6 (PBE).

```
CaPm2Dy6
1.0
7.2339 0.0000 0.0000
0.0002 8.9776 0.0000
1.7984 2.2032 9.1198
Ca Pm Dy
2 4 12
Direct
0.2122 0.3345 0.1454
0.7878 0.6655 0.8546
0.3792 0.3352 0.4833
0.4197 0.9946 0.3346
0.5803 0.0054 0.6654
0.6208 0.6648 0.5167
0.0439 0.3280 0.8121
0.0864 0.0056 0.6641
0.1225 0.6651 0.5161
0.2484 0.9906 0.9972
0.2852 0.6711 0.8494
0.4514 0.6715 0.1852
0.5486 0.3285 0.8148
0.7148 0.3289 0.1506
0.7516 0.0094 0.0028
0.8775 0.3349 0.4839
0.9136 0.9944 0.3359
0.9561 0.6720 0.1879
```

## Properties
- Electronic total energy: -4.306 eV/atom
- Formation energy: 0.040 eV/atom
- Symmetry: P-1
- Density: 7.3 g/cm³


No. 11
Entry from the Alexandria database: an optimized crystal structure of CaPm2Dy (PBE).

```
CaPm2Dy
1.0
1.8225 1.0522 12.1647
-1.8225 1.0522 12.1647
0.0000 -2.1044 12.1647
Ca Pm Dy
1 2 1
Direct
0.0000 0.0000 0.0000
0.2453 0.2453 0.2453
0.4219 0.4219 0.4219
0.8338 0.8338 0.8338
```

## Properties
- Electronic total energy: -3.984 eV/atom
- Formation energy: 0.042 eV/atom
- Symmetry: R3m
- Density: 5.8 g/cm³
- Energy relative to the lowest polymorph listed for this composition: 0.002 eV/atom


No. 12
Entry from the Alexandria database: an optimized crystal structure of CaPm4Dy15 (PBE).

```
CaPm4Dy15
1.0
5.0610 0.0000 0.0000
0.0000 5.0610 0.0000
0.0000 0.0000 25.2998
Ca Pm Dy
1 4 15
Direct
0.0000 0.0000 0.0000
0.0000 0.0000 0.2010
0.0000 0.0000 0.4005
0.0000 0.0000 0.5995
0.0000 0.0000 0.7990
0.0000 0.5000 0.1036
0.0000 0.5000 0.3012
0.0000 0.5000 0.5000
0.0000 0.5000 0.6988
0.0000 0.5000 0.8964
0.5000 0.0000 0.1036
0.5000 0.0000 0.3012
0.5000 0.0000 0.5000
0.5000 0.0000 0.6988
0.5000 0.0000 0.8964
0.5000 0.5000 0.0000
0.5000 0.5000 0.2006
0.5000 0.5000 0.4002
0.5000 0.5000 0.5998
0.5000 0.5000 0.7994
```

## Properties
- Electronic total energy: -4.463 eV/atom
- Formation energy: 0.038 eV/atom
- Symmetry: P4/mmm
- Density: 7.8 g/cm³


No. 13
Entry from the Alexandria database: an optimized crystal structure of CaPm4Dy (PBE).

```
CaPm4Dy
1.0
0.0000 4.7817 4.7817
4.7817 0.0000 4.7817
4.7817 4.7817 0.0000
Ca Pm Dy
1 4 1
Direct
0.0000 0.0000 0.0000
0.3767 0.3767 0.3767
0.3767 0.3767 0.8699
0.3767 0.8699 0.3767
0.8699 0.3767 0.3767
0.7500 0.7500 0.7500
```

## Properties
- Electronic total energy: -4.053 eV/atom
- Formation energy: 0.214 eV/atom
- Symmetry: F-43m
- Density: 5.9 g/cm³
- Energy relative to the lowest polymorph listed for this composition: 0.169 eV/atom


No. 14
Entry from the Alexandria database: an optimized crystal structure of CaPm2Dy (PBE).

```
CaPm2Dy
1.0
0.0000 4.1187 4.1187
4.1187 0.0000 4.1187
4.1187 4.1187 0.0000
Ca Pm Dy
1 2 1
Direct
0.0000 0.0000 0.0000
0.2500 0.2500 0.2500
0.7500 0.7500 0.7500
0.5000 0.5000 0.5000
```

## Properties
- Electronic total energy: -3.895 eV/atom
- Formation energy: 0.131 eV/atom
- Symmetry: Fm-3m
- Density: 5.9 g/cm³
- Energy relative to the lowest polymorph listed for this composition: 0.090 eV/atom


No. 15
Entry from the Alexandria database: an optimized crystal structure of CaPmDy14 (PBE).

```
CaPmDy14
1.0
11.3295 0.0000 0.0000
0.0000 3.6356 6.3034
0.0000 -3.6356 6.3034
Ca Pm Dy
1 1 14
Direct
0.0000 0.0000 0.0000
0.0000 0.4990 0.4990
0.0000 0.0014 0.4987
0.0000 0.4987 0.0014
0.2491 0.3332 0.3332
0.2538 0.8312 0.8312
0.2547 0.3375 0.8317
0.2547 0.8317 0.3375
0.5000 0.0001 0.0001
0.5000 0.0001 0.4998
0.5000 0.4998 0.0001
0.5000 0.5004 0.5004
0.7453 0.3375 0.8317
0.7453 0.8317 0.3375
0.7462 0.8312 0.8312
0.7509 0.3332 0.3332
```

## Properties
- Electronic total energy: -4.421 eV/atom
- Formation energy: 0.028 eV/atom
- Symmetry: Amm2
- Density: 7.9 g/cm³


No. 16
Entry from the Alexandria database: an optimized crystal structure of CaPmPrDy (PBE).

```
CaPmPrDy
1.0
0.0000 4.1386 4.1386
4.1386 0.0000 4.1386
4.1386 4.1386 0.0000
Ca Pm Pr Dy
1 1 1 1
Direct
0.0000 0.0000 0.0000
0.2500 0.2500 0.2500
0.7500 0.7500 0.7500
0.5000 0.5000 0.5000
```

## Properties
- Electronic total energy: -3.912 eV/atom
- Formation energy: 0.121 eV/atom
- Symmetry: F-43m
- Density: 5.7 g/cm³
- Energy relative to the lowest polymorph listed for this composition: 0.077 eV/atom


No. 17
Entry from the Alexandria database: an optimized crystal structure of CaPmPr6Dy2 (PBE).

```
CaPmPr6Dy2
1.0
4.6603 -7.8006 0.0000
4.6603 7.8006 0.0000
-1.4674 0.0000 9.8756
Ca Pm Pr Dy
2 2 12 4
Direct
0.0978 0.9022 0.7500
0.9022 0.0978 0.2500
0.4729 0.5271 0.2500
0.5271 0.4729 0.7500
0.0033 0.7918 0.3784
0.0665 0.5255 0.1773
0.2082 0.9967 0.1216
0.2619 0.6119 0.5522
0.3881 0.7381 0.9478
0.4745 0.9335 0.3227
0.5255 0.0665 0.6773
0.6119 0.2619 0.0522
0.7381 0.3881 0.4478
0.7918 0.0033 0.8784
0.9335 0.4745 0.8227
0.9967 0.2082 0.6216
0.2033 0.3021 0.9553
0.3021 0.2033 0.4553
0.6979 0.7967 0.5447
0.7967 0.6979 0.0447
```

## Properties
- Electronic total energy: -4.336 eV/atom
- Formation energy: 0.127 eV/atom
- Symmetry: C2/c
- Density: 6.3 g/cm³


No. 18
Entry from the Alexandria database: an optimized crystal structure of CaPmPrDy (PBE).

```
CaPmPrDy
1.0
3.6694 0.0000 0.0000
0.0000 3.6694 0.0000
0.0000 0.0000 10.5553
Ca Pm Pr Dy
1 1 1 1
Direct
0.0000 0.0000 0.0000
0.5000 0.5000 0.7361
0.5000 0.5000 0.2684
0.0000 0.0000 0.5051
```

## Properties
- Electronic total energy: -3.990 eV/atom
- Formation energy: 0.044 eV/atom
- Symmetry: P4mm
- Density: 5.7 g/cm³
- Energy relative to the lowest polymorph listed for this composition: 0.000 eV/atom


No. 19
Entry from the Alexandria database: an optimized crystal structure of CaPm2Pr6Dy (PBE).

```
CaPm2Pr6Dy
1.0
4.7085 -7.8414 0.0000
4.7085 7.8414 0.0000
-1.1166 0.0000 9.8026
Ca Pm Pr Dy
2 4 12 2
Direct
0.0256 0.9744 0.7500
0.9744 0.0256 0.2500
0.1974 0.3062 0.5452
0.3062 0.1974 0.0452
0.6938 0.8026 0.9548
0.8026 0.6938 0.4548
0.0159 0.5603 0.6846
0.1290 0.7527 0.0548
0.2473 0.8710 0.4452
0.2904 0.5005 0.8826
0.4397 0.9841 0.8154
0.5005 0.2904 0.3826
0.4995 0.7096 0.6174
0.5603 0.0159 0.1846
0.7096 0.4995 0.1174
0.7527 0.1290 0.5548
0.8710 0.2473 0.9452
0.9841 0.4397 0.3154
0.4088 0.5912 0.2500
0.5912 0.4088 0.7500
```

## Properties
- Electronic total energy: -4.364 eV/atom
- Formation energy: 0.114 eV/atom
- Symmetry: C2/c
- Density: 6.1 g/cm³


No. 20
Entry from the Alexandria database: an optimized crystal structure of CaPm6Pr2Dy3 (PBE).

```
CaPm6Pr2Dy3
1.0
3.1613 -5.4757 0.0000
3.1613 5.4757 0.0000
-2.0954 0.0000 11.8724
Ca Pm Pr Dy
1 6 2 3
Direct
0.0000 0.0000 0.0000
0.0863 0.4239 0.2567
0.2511 0.2511 0.7427
0.4239 0.0863 0.2567
0.5761 0.9137 0.7433
0.7489 0.7489 0.2573
0.9137 0.5761 0.7433
0.3330 0.6670 0.0000
0.6670 0.3330 0.0000
0.1659 0.8341 0.5000
0.5000 0.5000 0.5000
0.8341 0.1659 0.5000
```

## Properties
- Electronic total energy: -4.460 eV/atom
- Formation energy: 0.029 eV/atom
- Symmetry: C2/m
- Density: 6.8 g/cm³